A:
TlBiW2O8 | PBE with a Hubbard U | optimized geometry

volume: 239.8 Å³ per cell

a = 5.604 Å, b = 5.604 Å, c = 9.391 Å
α = 72.64°, β = 72.64°, γ = 60.00°
Sites, in units of the cell vectors:
O  0.485  0.099  0.669
O  0.687  0.687  0.940
O  0.099  0.746  0.669
O  0.901  0.515  0.331
O  0.313  0.313  0.060
O  0.254  0.901  0.331
O  0.746  0.485  0.669
O  0.515  0.254  0.331
W  0.754  0.754  0.737
W  0.246  0.246  0.263
Bi  0.500  0.500  0.500
Tl  0.000  0.000  0.000

B:
TlBiW2O8 | PBE with a Hubbard U | optimized geometry

volume: 353.0 Å³ per cell

a = 7.851 Å, b = 7.851 Å, c = 7.554 Å
α = 62.37°, β = 62.37°, γ = 89.30°
Sites, in units of the cell vectors:
O  0.059  0.356  0.369
O  0.593  0.379  0.968
O  0.630  0.743  0.560
O  0.743  0.630  0.060
O  0.763  0.954  0.695
O  0.370  0.257  0.440
O  0.046  0.237  0.805
O  0.257  0.370  0.940
O  0.379  0.593  0.468
O  0.237  0.046  0.305
O  0.644  0.941  0.131
O  0.941  0.644  0.631
O  0.356  0.059  0.869
O  0.954  0.763  0.195
O  0.407  0.621  0.032
O  0.621  0.407  0.532
W  0.311  0.302  0.711
W  0.302  0.311  0.211
W  0.689  0.698  0.289
W  0.698  0.689  0.789
Bi  0.218  0.782  0.250
Bi  0.782  0.218  0.750
Tl  0.217  0.783  0.750
Tl  0.783  0.217  0.250

The structure with the greatest stability is B.